# 1
# BaCrIr2 | Alexandria via LeMat-Bulk | PBE-GGA | relaxed
data_BaCrIr2
_chemical_formula_sum 'Ba2 Cr2 Ir4'
_symmetry_space_group_name_H-M 'P 1'
_symmetry_Int_Tables_number 1
_symmetry_space_group_name_Hall 'P 1'
_cell_length_a 5.171
_cell_length_b 5.171
_cell_length_c 8.818
_cell_angle_alpha 72.95
_cell_angle_beta 72.95
_cell_angle_gamma 90.00
loop_
_atom_site_label
_atom_site_fract_x
_atom_site_fract_y
_atom_site_fract_z
Cr1 0.500 0.500 0.000
Cr2 0.250 0.750 0.500
Ir1 0.375 0.125 0.250
Ir2 0.375 0.625 0.250
Ir3 0.375 0.625 0.750
Ir4 0.875 0.625 0.750
Ba1 0.000 0.000 0.000
Ba2 0.750 0.250 0.500
# Energy above the lowest structure with this stoichiometry (eV per formula unit): 1.18
# E_form (meV/atom): 358
# Spin magnetization (μB per atom): 0.624
# DOS(E_F) (states/eV/f.u.): 3.70

***

# 2
# BaCr2Ir | Alexandria via LeMat-Bulk | PBE-GGA | relaxed
data_BaCr2Ir
_chemical_formula_sum 'Ba2 Cr4 Ir2'
_symmetry_space_group_name_H-M 'P 1'
_symmetry_Int_Tables_number 1
_symmetry_space_group_name_Hall 'P 1'
_cell_length_a 5.419
_cell_length_b 5.419
_cell_length_c 8.816
_cell_angle_alpha 72.10
_cell_angle_beta 72.10
_cell_angle_gamma 90.00
loop_
_atom_site_label
_atom_site_fract_x
_atom_site_fract_y
_atom_site_fract_z
Cr1 0.875 0.125 0.250
Cr2 0.875 0.625 0.250
Cr3 0.375 0.125 0.750
Cr4 0.875 0.125 0.750
Ir1 0.000 0.000 0.000
Ir2 0.750 0.250 0.500
Ba1 0.500 0.500 0.000
Ba2 0.250 0.750 0.500
# Energy above the lowest structure with this stoichiometry (eV per formula unit): 1.82
# E_form (meV/atom): 733
# Spin magnetization (μB per atom): 1.680
# DOS(E_F) (states/eV/f.u.): 3.49

***

# 3
# BaCr2Ir | Alexandria via LeMat-Bulk | PBE-GGA | relaxed
data_BaCr2Ir
_chemical_formula_sum 'Ba1 Cr2 Ir1'
_symmetry_space_group_name_H-M 'P 1'
_symmetry_Int_Tables_number 1
_symmetry_space_group_name_Hall 'P 1'
_cell_length_a 3.339
_cell_length_b 3.339
_cell_length_c 7.468
_cell_angle_alpha 90.00
_cell_angle_beta 90.00
_cell_angle_gamma 90.04
loop_
_atom_site_label
_atom_site_fract_x
_atom_site_fract_y
_atom_site_fract_z
Ba1 0.500 0.500 0.750
Cr1 0.000 0.000 0.114
Cr2 0.000 0.000 0.386
Ir1 0.500 0.500 0.250
# Energy above the lowest structure with this stoichiometry (eV per formula unit): 1.41
# E_form (meV/atom): 631
# Spin magnetization (μB per atom): 0.002
# DOS(E_F) (states/eV/f.u.): 5.06

***

# 4
# Ba4CrIr | Alexandria via LeMat-Bulk | PBE-GGA | relaxed
data_Ba4CrIr
_chemical_formula_sum 'Ba4 Cr1 Ir1'
_symmetry_space_group_name_H-M 'P 1'
_symmetry_Int_Tables_number 1
_symmetry_space_group_name_Hall 'P 1'
_cell_length_a 6.833
_cell_length_b 6.833
_cell_length_c 6.833
_cell_angle_alpha 60.00
_cell_angle_beta 60.00
_cell_angle_gamma 60.00
loop_
_atom_site_label
_atom_site_fract_x
_atom_site_fract_y
_atom_site_fract_z
Ba1 0.878 0.374 0.374
Ba2 0.374 0.374 0.878
Ba3 0.374 0.878 0.374
Ba4 0.374 0.374 0.374
Cr1 0.750 0.750 0.750
Ir1 0.000 0.000 0.000
# E_form (meV/atom): 1182
# Spin magnetization (μB per atom): 0.899
# DOS(E_F) (states/eV/f.u.): 5.83

***

# 5
# BaCr2Ir | Alexandria via LeMat-Bulk | PBE-GGA | relaxed
data_BaCr2Ir
_chemical_formula_sum 'Ba1 Cr2 Ir1'
_symmetry_space_group_name_H-M 'P 1'
_symmetry_Int_Tables_number 1
_symmetry_space_group_name_Hall 'P 1'
_cell_length_a 4.584
_cell_length_b 4.584
_cell_length_c 4.584
_cell_angle_alpha 60.00
_cell_angle_beta 60.00
_cell_angle_gamma 60.00
loop_
_atom_site_label
_atom_site_fract_x
_atom_site_fract_y
_atom_site_fract_z
Cr1 0.250 0.250 0.250
Cr2 0.750 0.750 0.750
Ir1 0.500 0.500 0.500
Ba1 0.000 0.000 0.000
# Energy above the lowest structure with this stoichiometry (eV per formula unit): 3.61
# E_form (meV/atom): 1180
# Spin magnetization (μB per atom): 0.000
# DOS(E_F) (states/eV/f.u.): 4.07

***

# 6
# BaCrIr2 | Alexandria via LeMat-Bulk | PBE-GGA | relaxed
data_BaCrIr2
_chemical_formula_sum 'Ba1 Cr1 Ir2'
_symmetry_space_group_name_H-M 'P 1'
_symmetry_Int_Tables_number 1
_symmetry_space_group_name_Hall 'P 1'
_cell_length_a 9.711
_cell_length_b 9.711
_cell_length_c 9.711
_cell_angle_alpha 17.83
_cell_angle_beta 17.83
_cell_angle_gamma 17.83
loop_
_atom_site_label
_atom_site_fract_x
_atom_site_fract_y
_atom_site_fract_z
Ba1 0.250 0.250 0.250
Cr1 0.750 0.750 0.750
Ir1 0.018 0.018 0.018
Ir2 0.482 0.482 0.482
# Energy above the lowest structure with this stoichiometry (eV per formula unit): 2.36
# E_form (meV/atom): 654
# Spin magnetization (μB per atom): 0.577
# DOS(E_F) (states/eV/f.u.): 4.43

***

# 7
# Ba2CrIr | Alexandria via LeMat-Bulk | PBE-GGA | relaxed
data_Ba2CrIr
_chemical_formula_sum 'Ba2 Cr1 Ir1'
_symmetry_space_group_name_H-M 'P 1'
_symmetry_Int_Tables_number 1
_symmetry_space_group_name_Hall 'P 1'
_cell_length_a 5.278
_cell_length_b 8.504
_cell_length_c 4.295
_cell_angle_alpha 59.63
_cell_angle_beta 90.02
_cell_angle_gamma 126.87
loop_
_atom_site_label
_atom_site_fract_x
_atom_site_fract_y
_atom_site_fract_z
Ba1 0.000 0.000 0.000
Ba2 0.000 0.500 0.500
Cr1 0.500 0.500 0.000
Ir1 0.500 0.000 0.500
# Energy above the lowest structure with this stoichiometry (eV per formula unit): 1.77
# E_form (meV/atom): 576
# Spin magnetization (μB per atom): 1.238
# DOS(E_F) (states/eV/f.u.): 2.29

***

# 8
# BaCrIr2 | Alexandria via LeMat-Bulk | PBE-GGA | relaxed
data_BaCrIr2
_chemical_formula_sum 'Ba1 Cr1 Ir2'
_symmetry_space_group_name_H-M 'P 1'
_symmetry_Int_Tables_number 1
_symmetry_space_group_name_Hall 'P 1'
_cell_length_a 5.084
_cell_length_b 5.084
_cell_length_c 5.084
_cell_angle_alpha 128.34
_cell_angle_beta 128.34
_cell_angle_gamma 76.08
loop_
_atom_site_label
_atom_site_fract_x
_atom_site_fract_y
_atom_site_fract_z
Ba1 0.250 0.750 0.500
Cr1 0.750 0.250 0.500
Ir1 0.000 0.000 0.000
Ir2 0.500 0.500 0.000
# Energy above the lowest structure with this stoichiometry (eV per formula unit): 2.98
# E_form (meV/atom): 809
# Spin magnetization (μB per atom): 0.833
# DOS(E_F) (states/eV/f.u.): 4.72